DFT (GGA-PBE) results for a relaxed structure of ScHSCl2.

Geometry as CIF:
```
data_ScHSCl2
_cell_length_a 5.0207
_cell_length_b 5.0207
_cell_length_c 5.0297
_cell_angle_alpha 90.00
_cell_angle_beta 90.00
_cell_angle_gamma 90.00
_space_group_name_H-M_alt 'P 1'
_space_group_IT_number 1
_space_group_name_Hall 'P 1'
loop_
_atom_site_label
_atom_site_fract_x
_atom_site_fract_y
_atom_site_fract_z
S1 0.0000 0.0000 0.5000
Cl1 0.0000 0.5000 0.0000
Cl2 0.5000 0.0000 0.0000
H1 0.5000 0.5000 0.5000
Sc1 0.0000 0.0000 0.0000
```

Symmetry: P4/mmm (123)
Energy above the lowest structure with this stoichiometry: 0.000 eV per formula unit